Computed, not measured: a relaxed structure of Tb12Dy2Er at the PBE level of DFT.

Values from the calculation:
Crystal system: monoclinic
Energy relative to the elements: 0.0763 eV per atom
Symmetry: P2/m

```
data_Tb12Dy2Er
_space_group_name_H-M_alt 'P 1'
_space_group_IT_number 1
_space_group_name_Hall 'P 1'
_cell_length_a 3.610
_cell_length_b 5.696
_cell_length_c 23.384
_cell_angle_alpha 90.00
_cell_angle_beta 94.39
_cell_angle_gamma 90.00
loop_
_atom_site_label
_atom_site_fract_x
_atom_site_fract_y
_atom_site_fract_z
Tb1 0.030 0.000 0.066
Tb2 0.071 0.500 0.146
Tb3 0.159 0.000 0.321
Tb4 0.213 0.500 0.426
Tb5 0.280 0.000 0.558
Tb6 0.408 0.000 0.807
Tb7 0.592 0.000 0.193
Tb8 0.720 0.000 0.442
Tb9 0.787 0.500 0.574
Tb10 0.841 0.000 0.679
Tb11 0.929 0.500 0.854
Tb12 0.970 0.000 0.934
Dy1 0.358 0.500 0.715
Dy2 0.642 0.500 0.285
Er1 0.500 0.500 0.000
```